Record 1
VASP calculation (PBE) on La3CdIr after structural relaxation.

The structure in POSCAR format:
```
La3CdIr
1.0
-2.350 -2.673 4.359
5.083 -0.704 2.309
-0.552 4.902 2.709
La Cd Ir
3 1 1
Direct
0.500 0.000 0.000 La
0.000 0.500 0.000 La
0.000 0.000 0.500 La
0.500 0.500 0.500 Cd
0.000 0.000 0.000 Ir
```

The value obtained for the energy is -5.273 eV/atom. The calculation puts the energy of formation at -362 meV per atom. The value obtained for the size of the total moment is 0.0000 μB per atom. The calculation puts the density of states at the Fermi level at 7.40 states/eV/f.u. Its energy relative to the lowest polymorph listed for this composition is 127 meV per atom.

Record 2
VASP calculation (PBE) on AcPaSnAu after structural relaxation.

The structure in POSCAR format:
```
AcPaSnAu
1.0
-5.158 1.733 0.557
-3.550 -0.610 -4.116
-4.073 -3.626 0.416
Pa Sn Au Ac
1 1 1 1
Direct
0.000 0.000 0.000 Pa
0.250 0.250 0.250 Sn
0.750 0.750 0.750 Au
0.500 0.500 0.500 Ac
```

The value obtained for the energy is -5.453 eV/atom. The calculation puts the energy of formation at -231 meV per atom. The value obtained for the size of the total moment is 0.7103 μB per atom. The calculation puts the density of states at the Fermi level at 8.88 states/eV/f.u.